No. 1
A plane-wave DFT calculation with PBE was carried out for a relaxed structure of LiPu2Ni.

Cell lengths 4.828, 3.486, 3.486 Å; angles 90.00, 90.00, 90.00 degrees
Sites, in units of the cell vectors:
Pu1 0.000 0.000 0.500
Pu2 0.000 0.500 0.000
Ni1 0.500 0.500 0.500
Li1 0.500 0.000 0.000

Summary:
E above lowest polymorph (meV/atom): 307
Energy of formation (eV per atom): 0.433

---

No. 2
A plane-wave DFT calculation with PBE was carried out for a relaxed structure of NdDy2ScTl4.

Cell lengths 5.337, 5.337, 9.312 Å; angles 73.35, 73.35, 60.00 degrees
Sites, in units of the cell vectors:
Dy1 0.752 0.752 0.745
Tl1 0.872 0.872 0.383
Tl2 0.378 0.378 0.865
Dy2 0.248 0.248 0.255
Nd1 0.000 0.000 0.000
Sc1 0.500 0.500 0.500
Tl3 0.128 0.128 0.617
Tl4 0.622 0.622 0.135

Summary:
Energy of formation (eV per atom): -0.316

---

No. 3
A plane-wave DFT calculation with PBE was carried out for a relaxed structure of Sc2Ni2Sn.

Cell lengths 3.386, 3.386, 8.554 Å; angles 78.58, 78.58, 90.00 degrees
Sites, in units of the cell vectors:
Sc1 0.628 0.628 0.744
Ni1 0.250 0.750 0.500
Ni2 0.750 0.250 0.500
Sn1 0.000 0.000 0.000
Sc2 0.372 0.372 0.256

Summary:
Energy of formation (eV per atom): -0.339

---

No. 4
A plane-wave DFT calculation with PBE was carried out for a relaxed structure of HoGe2Pt.

Cell lengths 3.372, 3.372, 9.479 Å; angles 79.75, 79.75, 60.00 degrees
Sites, in units of the cell vectors:
Ge1 0.105 0.105 0.685
Ho1 0.000 0.000 0.000
Ge2 0.895 0.895 0.315
Pt1 0.500 0.500 0.500

Summary:
Energy of formation (eV per atom): -0.067

---

No. 5
A plane-wave DFT calculation with PBE was carried out for a relaxed structure of In2TcSb.

Cell lengths 4.760, 6.030, 3.458 Å; angles 73.00, 90.82, 113.50 degrees
Sites, in units of the cell vectors:
Tc1 0.500 0.500 0.000
In1 0.000 0.000 0.000
In2 0.500 0.000 0.500
Sb1 0.000 0.500 0.500

Summary:
Formation energy (no corrections) (eV/atom): 0.491

---

no.,total energy (eV per cell)
1,-34.63
2,-32.30
3,-29.92
4,-20.12
5,-18.00